Density functional theory data (PBE-GGA) for a relaxed structure of CaYGeF2.

a b c (Å): 4.2614 6.3657 4.2614
angles (deg): 90.00 90.00 90.00
With the nearest neighbours (Å) after each atom.
Element x y z (fractional)
Y1 0.5000 0.5000 0.5000  4 Ge 3.01
Ca1 0.0000 0.0000 0.0000  4 F 2.13
F1 0.5000 0.0000 0.0000  2 Ca 2.13
F2 0.0000 0.0000 0.5000  2 Ca 2.13
Ge1 0.0000 0.5000 0.0000  4 Y 3.01, 2 Ca 3.18

Summary:
- DFT total energy (eV per atom) = -5.47
- SG = P4/mmm
- E_form (uncorrected) (eV per atom) = -2.105
- calculated density (g cm⁻³) = 3.44

=====

Density functional theory data (PBE-GGA) for a relaxed structure of CaHF3.

a b c (Å): 5.4683 6.0300 7.9691
angles (deg): 90.00 104.63 90.00
With the nearest neighbours (Å) after each atom.
Element x y z (fractional)
Ca1 0.0376 0.3499 0.7032  7 F 2.29-2.43
Ca2 0.5376 0.1501 0.2032  7 F 2.29-2.43
Ca3 0.4624 0.8499 0.7968  7 F 2.29-2.43
Ca4 0.9624 0.6501 0.2968  7 F 2.29-2.43
F1 0.8049 0.0072 0.7052  1 H 1.15
F2 0.7788 0.3865 0.0761  1 H 1.14
F3 0.6951 0.5072 0.7948  1 H 1.15
F4 0.3049 0.4928 0.2052  1 H 1.15
F5 0.2788 0.1135 0.5761  1 H 1.14
F6 0.1951 0.9928 0.2948  1 H 1.15
F7 0.8045 0.3566 0.4196  3 Ca 2.29-2.32
F8 0.3045 0.1434 0.9196  3 Ca 2.29-2.32
F9 0.2212 0.6135 0.9239  1 H 1.14
F10 0.7212 0.8865 0.4239  1 H 1.14
F11 0.6955 0.8566 0.0804  3 Ca 2.29-2.32
F12 0.1955 0.6434 0.5804  3 Ca 2.29-2.32
H1 0.2313 0.0544 0.4360  2 F 1.14-1.15
H2 0.7313 0.4456 0.9360  2 F 1.14-1.15
H3 0.7687 0.9456 0.5640  2 F 1.14-1.15
H4 0.2687 0.5544 0.0640  2 F 1.14-1.15

Summary:
- ΔE to the lowest computed polymorph (eV/f.u.) = 0.02
- DFT total energy (eV per atom) = -5.20
- SG = P2_1/c
- calculated density (g cm⁻³) = 2.56

=====

Density functional theory data (PBE-GGA) for a relaxed structure of CaHF3.

a b c (Å): 3.5747 3.5747 3.5747
angles (deg): 90.00 90.00 90.00
With the nearest neighbours (Å) after each atom.
Element x y z (fractional)
H1 0.0000 0.0000 0.0000  6 F 1.79
Ca1 0.5000 0.5000 0.5000  12 F 2.53
F1 0.5000 0.0000 0.0000  2 H 1.79
F2 0.0000 0.0000 0.5000  2 H 1.79
F3 0.0000 0.5000 0.0000  2 H 1.79

Summary:
- ΔE to the lowest computed polymorph (eV/f.u.) = 3.04
- DFT total energy (eV per atom) = -4.59
- SG = Pm-3m
- calculated density (g cm⁻³) = 3.57

=====

Density functional theory data (PBE-GGA) for a relaxed structure of Ca2H2F.

a b c (Å): 3.5317 3.5317 6.7063
angles (deg): 74.73 74.73 90.00
With the nearest neighbours (Å) after each atom.
Element x y z (fractional)
F1 0.0000 0.0000 0.0000  8 Ca 3.07
H1 0.2500 0.7500 0.5000  4 Ca 2.21
H2 0.7500 0.2500 0.5000  4 Ca 2.21
Ca1 0.3565 0.3565 0.2870  4 H 2.21
Ca2 0.6435 0.6435 0.7130  4 H 2.21

Summary:
- ΔE to the lowest computed polymorph (eV/f.u.) = 0.49
- DFT total energy (eV per atom) = -3.66
- SG = I4/mmm
- calculated density (g cm⁻³) = 2.16